(one)
VASP calculation (GGA-PBE) on Te3SeCl after structural relaxation.

POSCAR file:
```
Te3SeCl
1.0
5.371 0.000 0.000
0.000 5.371 0.000
0.000 0.000 5.371
Cl Se Te
1 1 3
Direct
0.000 0.000 0.000
0.500 0.500 0.500
0.500 0.000 0.000
0.000 0.000 0.500
0.000 0.500 0.000
```

Its size of the total moment is 0.00 μB per formula unit.

(two)
VASP calculation (GGA-PBE) on Te3SeCl after structural relaxation.

POSCAR file:
```
Te3SeCl
1.0
5.486 0.000 0.000
0.000 5.486 0.000
0.000 0.000 5.486
Te Se Cl
3 1 1
Direct
0.000 0.500 0.000
0.500 0.000 0.000
0.000 0.000 0.500
0.000 0.000 0.000
0.500 0.500 0.500
```

Its size of the total moment is 0.00 μB per formula unit.

(three)
VASP calculation (GGA-PBE) on Te3SeCl after structural relaxation.

POSCAR file:
```
Te3SeCl
1.0
-3.700 -8.954 -1.006
2.080 -8.349 -4.566
2.314 -9.205 2.191
Te Se Cl
6 2 2
Direct
0.647 0.795 0.310
0.147 0.810 0.295
0.795 0.310 0.647
0.810 0.295 0.147
0.310 0.647 0.795
0.295 0.147 0.810
0.987 0.987 0.987
0.487 0.487 0.487
0.732 0.732 0.732
0.232 0.232 0.232
```

Its size of the total moment is 0.00 μB per formula unit.

(three) wins, 414 meV/atom ahead of the next structure.